Density functional theory data (GGA+U) for crystalline Ga2NiO4 at its relaxed geometry.

Excess energy over the best structure of this formula in the dataset (kcal/mol of atoms): 0.25
Symmetry: No. 8

Unit cell a=5.9177 b=5.9177 c=19.5489 alpha=98.60 beta=98.60 gamma=60.60
Fractional positions:
Ga 0.0000 0.0000 0.0000
Ga 0.0270 0.5219 0.0968
Ga 0.0275 0.5274 0.5947
Ga 0.0489 0.0489 0.1890
Ga 0.2544 0.2544 0.7531
Ga 0.2752 0.7750 0.3457
Ga 0.2814 0.7788 0.8433
Ga 0.5016 0.5016 0.5034
Ga 0.5219 0.0270 0.0968
Ga 0.5274 0.0275 0.5947
Ga 0.5533 0.5533 0.6852
Ga 0.6519 0.6519 0.9668
Ga 0.7493 0.7493 0.2538
Ga 0.7750 0.2752 0.3457
Ga 0.7788 0.2814 0.8433
Ga 0.8010 0.8010 0.4370
Ni 0.0275 0.0275 0.5946
Ni 0.1514 0.1514 0.4700
Ni 0.2751 0.2751 0.3454
Ni 0.3078 0.3078 0.9394
Ni 0.3992 0.3992 0.2207
Ni 0.5225 0.5225 0.0960
Ni 0.7781 0.7781 0.8438
Ni 0.9036 0.9036 0.7194
O 0.0844 0.0844 0.2878
O 0.0881 0.0881 0.7856
O 0.0925 0.6095 0.7849
O 0.1044 0.5887 0.2858
O 0.1973 0.7142 0.6535
O 0.2095 0.6965 0.1556
O 0.2127 0.2127 0.1557
O 0.2183 0.2183 0.6533
O 0.3304 0.3304 0.0432
O 0.3350 0.3350 0.5354
O 0.3409 0.8569 0.5353
O 0.3606 0.8297 0.0331
O 0.4461 0.9614 0.4044
O 0.4659 0.4659 0.4037
O 0.4721 0.9349 0.9054
O 0.4784 0.4784 0.9020
O 0.5828 0.5828 0.2859
O 0.5887 0.1044 0.2858
O 0.5888 0.5888 0.7833
O 0.6095 0.0925 0.7849
O 0.6965 0.2095 0.1556
O 0.7142 0.1973 0.6535
O 0.7146 0.7146 0.1533
O 0.7201 0.7201 0.6532
O 0.8297 0.3606 0.0331
O 0.8306 0.8306 0.0339
O 0.8366 0.8366 0.5360
O 0.8569 0.3409 0.5353
O 0.9349 0.4721 0.9054
O 0.9614 0.4461 0.4044
O 0.9672 0.9672 0.4044
O 0.9683 0.9683 0.9022